No. 1
! Rb2FeTcI6 (PBE, relaxed); values from VASP
! - total magnetization (μB/cell) = 6.45
&SYSTEM
  ibrav = 0, nat = 10, ntyp = 4
/
ATOMIC_SPECIES
Rb 85.47 Rb.upf
Fe 55.84 Fe.upf
Tc 98.00 Tc.upf
I 126.90 I.upf
CELL_PARAMETERS angstrom
0.000 5.683 5.683
5.683 0.000 5.683
5.683 5.683 0.000
ATOMIC_POSITIONS angstrom
Rb 2.842 2.842 2.842
Rb 8.525 8.525 8.525
Fe 0.000 0.000 0.000
Tc 5.683 5.683 5.683
I 5.683 5.683 2.856
I 5.683 2.856 5.683
I 8.511 5.683 5.683
I 2.856 5.683 5.683
I 5.683 8.511 5.683
I 5.683 5.683 8.511

***

No. 2
! RbFeTe2I (PBE, relaxed); values from VASP
! - total magnetization (μB/cell) = 0.00
&SYSTEM
  ibrav = 0, nat = 5, ntyp = 4
/
ATOMIC_SPECIES
Rb 85.47 Rb.upf
Fe 55.84 Fe.upf
Te 127.60 Te.upf
I 126.90 I.upf
CELL_PARAMETERS angstrom
5.052 0.000 0.000
0.000 5.052 0.000
0.000 0.000 6.223
ATOMIC_POSITIONS angstrom
Rb 0.000 0.000 0.000
Fe 2.526 2.526 3.111
Te 0.000 2.526 3.111
Te 2.526 0.000 3.111
I 2.526 2.526 0.000

***

No. 3
! RbFeTeI2 (PBE, relaxed); values from VASP
! - total magnetization (μB/cell) = 0.17
&SYSTEM
  ibrav = 0, nat = 5, ntyp = 4
/
ATOMIC_SPECIES
Rb 85.47 Rb.upf
Fe 55.84 Fe.upf
Te 127.60 Te.upf
I 126.90 I.upf
CELL_PARAMETERS angstrom
5.827 0.000 0.000
0.000 5.827 0.000
0.000 0.000 4.864
ATOMIC_POSITIONS angstrom
Rb 0.000 0.000 0.000
Fe 2.914 2.914 2.432
Te 2.914 2.914 0.000
I 0.000 2.914 2.432
I 2.914 0.000 2.432

***

No. 4
! RbTiFe2I8 (PBE, relaxed); values from VASP
! - total magnetization (μB/cell) = 7.00
&SYSTEM
  ibrav = 0, nat = 12, ntyp = 4
/
ATOMIC_SPECIES
Rb 85.47 Rb.upf
Ti 47.87 Ti.upf
Fe 55.84 Fe.upf
I 126.90 I.upf
CELL_PARAMETERS angstrom
5.963 -4.049 0.000
5.963 4.049 0.000
-1.120 0.000 10.545
ATOMIC_POSITIONS angstrom
Rb 0.000 0.000 0.000
Ti -0.560 0.000 5.273
Fe 3.724 0.000 7.429
Fe 7.083 0.000 3.117
I 5.413 2.065 3.231
I 2.240 0.000 5.302
I 5.393 2.065 7.315
I 2.660 0.000 9.748
I 8.147 0.000 0.797
I 5.413 -2.065 3.231
I 8.567 0.000 5.244
I 5.393 -2.065 7.315

***

No. 5
! RbTlFeI5 (PBE, relaxed); values from VASP
! - total magnetization (μB/cell) = 9.97
&SYSTEM
  ibrav = 0, nat = 16, ntyp = 4
/
ATOMIC_SPECIES
Rb 85.47 Rb.upf
Tl 204.38 Tl.upf
Fe 55.84 Fe.upf
I 126.90 I.upf
CELL_PARAMETERS angstrom
5.549 -7.258 0.000
5.549 7.258 0.000
-4.968 0.000 10.198
ATOMIC_POSITIONS angstrom
Rb 1.823 5.175 7.648
Rb 4.307 -5.175 2.549
Tl 5.549 0.000 0.000
Tl 3.065 0.000 5.099
Fe 4.307 4.707 2.549
Fe 1.823 -4.707 7.648
I -2.818 1.049 9.543
I 2.453 3.264 3.562
I -0.335 -1.049 4.444
I 1.823 1.671 7.648
I 6.161 3.264 1.537
I -0.031 -3.264 8.661
I 4.307 -1.671 2.549
I 6.465 1.049 5.754
I 3.678 -3.264 6.636
I 8.949 -1.049 0.655

***

No. 6
! RbTlFe2I8 (PBE, relaxed); values from VASP
! - total magnetization (μB/cell) = 9.98
&SYSTEM
  ibrav = 0, nat = 12, ntyp = 4
/
ATOMIC_SPECIES
Rb 85.47 Rb.upf
Tl 204.38 Tl.upf
Fe 55.84 Fe.upf
I 126.90 I.upf
CELL_PARAMETERS angstrom
8.509 0.000 0.000
-4.254 7.369 0.000
0.000 0.000 10.831
ATOMIC_POSITIONS angstrom
Rb 0.000 0.000 0.000
Tl 0.000 0.000 5.415
Fe 0.000 4.913 2.065
Fe 4.254 2.456 8.766
I 0.000 2.491 2.929
I -2.097 6.123 2.929
I 0.000 4.913 10.382
I 2.157 1.245 7.901
I 2.097 6.123 2.929
I 4.254 2.456 0.449
I 6.352 1.245 7.901
I 4.254 4.878 7.901

***

No. 7
! RbTmFe2I8 (PBE, relaxed); values from VASP
! - total magnetization (μB/cell) = 8.00
&SYSTEM
  ibrav = 0, nat = 12, ntyp = 4
/
ATOMIC_SPECIES
Rb 85.47 Rb.upf
Tm 168.93 Tm.upf
Fe 55.84 Fe.upf
I 126.90 I.upf
CELL_PARAMETERS angstrom
6.104 -4.188 0.000
6.104 4.188 0.000
-0.988 0.000 10.690
ATOMIC_POSITIONS angstrom
Rb 0.000 0.000 0.000
Tm -0.494 0.000 5.345
Fe 3.893 0.000 7.608
Fe 7.326 0.000 3.082
I 5.637 2.088 3.164
I 2.497 0.000 5.379
I 5.582 2.088 7.525
I 2.776 0.000 9.900
I 8.443 0.000 0.790
I 5.637 -2.088 3.164
I 8.723 0.000 5.311
I 5.582 -2.088 7.525

***

No. 8
! Rb2VFeI6 (PBE, relaxed); values from VASP
! - total magnetization (μB/cell) = 1.00
&SYSTEM
  ibrav = 0, nat = 10, ntyp = 4
/
ATOMIC_SPECIES
Rb 85.47 Rb.upf
V 50.94 V.upf
Fe 55.84 Fe.upf
I 126.90 I.upf
CELL_PARAMETERS angstrom
0.000 5.717 5.717
5.717 0.000 5.717
5.717 5.717 0.000
ATOMIC_POSITIONS angstrom
Rb 2.859 2.859 2.859
Rb 8.576 8.576 8.576
V 0.000 0.000 0.000
Fe 5.717 5.717 5.717
I 5.717 5.717 2.855
I 5.717 2.855 5.717
I 8.579 5.717 5.717
I 2.855 5.717 5.717
I 5.717 8.579 5.717
I 5.717 5.717 8.579

***

No. 9
! RbFe2WI (PBE, relaxed); values from VASP
! - total magnetization (μB/cell) = 5.50
&SYSTEM
  ibrav = 0, nat = 5, ntyp = 4
/
ATOMIC_SPECIES
Rb 85.47 Rb.upf
Fe 55.84 Fe.upf
W 183.84 W.upf
I 126.90 I.upf
CELL_PARAMETERS angstrom
4.943 0.000 0.000
0.000 4.943 0.000
0.000 0.000 5.102
ATOMIC_POSITIONS angstrom
Rb 0.000 0.000 0.000
Fe 0.000 2.472 2.551
Fe 2.472 0.000 2.551
W 2.472 2.472 0.000
I 2.472 2.472 2.551

***

No. 10
! Rb2FeWI6 (PBE, relaxed); values from VASP
! - total magnetization (μB/cell) = 6.26
&SYSTEM
  ibrav = 0, nat = 10, ntyp = 4
/
ATOMIC_SPECIES
Rb 85.47 Rb.upf
Fe 55.84 Fe.upf
W 183.84 W.upf
I 126.90 I.upf
CELL_PARAMETERS angstrom
-4.040 4.040 5.708
4.040 -4.040 5.708
4.040 4.040 -5.708
ATOMIC_POSITIONS angstrom
Rb 4.040 0.000 2.854
Rb 0.000 4.040 2.854
Fe 0.000 0.000 0.000
W 0.000 0.000 5.708
I 0.000 0.000 2.872
I 2.035 2.035 0.000
I 2.005 -2.005 5.708
I -2.005 2.005 5.708
I 0.000 0.000 8.543
I 2.005 2.005 5.708

***

No. 11
! RbYFe2I8 (PBE, relaxed); values from VASP
! - total magnetization (μB/cell) = 8.00
&SYSTEM
  ibrav = 0, nat = 12, ntyp = 4
/
ATOMIC_SPECIES
Rb 85.47 Rb.upf
Y 88.91 Y.upf
Fe 55.84 Fe.upf
I 126.90 I.upf
CELL_PARAMETERS angstrom
6.123 -4.216 0.000
6.123 4.216 0.000
-0.991 0.000 10.699
ATOMIC_POSITIONS angstrom
Rb 0.000 0.000 0.000
Y -0.496 0.000 5.349
Fe 3.908 0.000 7.631
Fe 7.347 0.000 3.068
I 5.662 2.089 3.140
I 2.532 0.000 5.391
I 5.593 2.089 7.559
I 2.766 0.000 9.910
I 8.489 0.000 0.789
I 5.662 -2.089 3.140
I 8.722 0.000 5.308
I 5.593 -2.089 7.559

***

No. 12
! Rb2YFeI (PBE, relaxed); values from VASP
! - total magnetization (μB/cell) = 4.08
&SYSTEM
  ibrav = 0, nat = 5, ntyp = 4
/
ATOMIC_SPECIES
Rb 85.47 Rb.upf
Y 88.91 Y.upf
Fe 55.84 Fe.upf
I 126.90 I.upf
CELL_PARAMETERS angstrom
6.853 0.000 0.000
0.000 6.853 0.000
0.000 0.000 5.899
ATOMIC_POSITIONS angstrom
Rb 0.000 3.426 0.000
Rb 3.426 0.000 0.000
Y 0.000 0.000 2.949
Fe 3.426 3.426 2.949
I 0.000 0.000 0.000

***

no.,formation energy from raw total energies (kcal/mol of atoms)
1,-9.93
2,-3.13
3,-5.33
4,-11.93
5,-13.85
6,-10.78
7,-16.29
8,-14.81
9,46.59
10,-8.07
11,-16.57
12,16.93